1.
Computed, not measured: a relaxed Pr2CuSb4Pt crystal at the GGA-PBE level of DFT.

final energy = -5.233 eV/atom

Cell: 4.4450 4.4450 10.1297 Å, 90.00 90.00 90.00°
With the nearest neighbours (Å) after each atom.
Positions (direct):
Pr: 0.0000 0.5000 0.2483  8 Sb 3.29-3.38, 2 Cu 3.36, 2 Pt 3.36
Pr: 0.5000 0.0000 0.7517  8 Sb 3.29-3.38, 2 Cu 3.36, 2 Pt 3.36
Cu: 0.0000 0.0000 0.0000  4 Sb 2.71
Sb: 0.0000 0.0000 0.5000  4 Sb 3.14, 4 Pr 3.38
Sb: 0.0000 0.5000 0.8470  2 Cu 2.71, 2 Pt 2.71
Sb: 0.5000 0.0000 0.1530  2 Cu 2.71, 2 Pt 2.71
Sb: 0.5000 0.5000 0.5000  4 Sb 3.14, 4 Pr 3.38
Pt: 0.5000 0.5000 0.0000  4 Sb 2.71

---

2.
Computed, not measured: a relaxed Pr3Cu2Si4Pt2 crystal at the GGA-PBE level of DFT.

final energy = -5.918 eV/atom

Cell: 12.5492 12.5492 12.5492 Å, 160.79 160.73 27.33°
With the nearest neighbours (Å) after each atom.
Positions (direct):
Pr: 0.0000 0.0000 0.0000  4 Pt 3.17, 8 Si 3.20
Pr: 0.3481 0.8481 0.5000  6 Si 3.17-3.26, 4 Cu 3.17-3.19, 4 Pt 3.25
Pr: 0.6519 0.1519 0.5000  6 Si 3.17-3.26, 4 Cu 3.17-3.19, 4 Pt 3.25
Cu: 0.2493 0.2493 0.0000  4 Si 2.44-2.47
Cu: 0.7507 0.7507 0.0000  4 Si 2.44-2.47
Si: 0.1976 0.6976 0.5000  1 Pt 2.44, 4 Cu 2.44-2.47
Si: 0.4506 0.4506 0.0000  2 Pt 2.41, 1 Si 2.41
Si: 0.5494 0.5494 0.0000  2 Pt 2.41, 1 Si 2.41
Si: 0.8024 0.3024 0.5000  1 Pt 2.44, 4 Cu 2.44-2.47
Pt: 0.0976 0.5976 0.5000  3 Si 2.41-2.44
Pt: 0.9024 0.4024 0.5000  3 Si 2.41-2.44

---

3.
Computed, not measured: a relaxed Pr2CuSi4Pt crystal at the GGA-PBE level of DFT.

final energy = -5.920 eV/atom

Cell: 4.1703 8.7243 8.7243 Å, 28.36 90.00 90.00°
With the nearest neighbours (Å) after each atom.
Positions (direct):
Pr: 0.0000 0.0000 0.0000  10 Si 3.15-3.35, 4 Pt 3.28
Pr: 0.5000 0.2082 0.2082  10 Si 3.15-3.25, 4 Cu 3.20
Cu: 0.0000 0.7759 0.7759  5 Si 2.36-2.46
Si: 0.0000 0.3474 0.3474  2 Pt 2.42, 2 Cu 2.46
Si: 0.0000 0.6364 0.6364  1 Cu 2.36, 2 Si 2.42
Si: 0.5000 0.5633 0.5633  2 Si 2.42, 1 Pt 2.43
Si: 0.5000 0.8501 0.8501  2 Cu 2.43, 2 Pt 2.44
Pt: 0.5000 0.4197 0.4197  5 Si 2.42-2.44

---

4.
Computed, not measured: a relaxed PrPu2Cu9 crystal at the GGA-PBE level of DFT.

final energy = -5.357 eV/atom
DFT formation energy = 0.183 eV/atom

Cell: 8.9986 8.9986 8.9986 Å, 32.03 32.03 32.03°
With the nearest neighbours (Å) after each atom.
Positions (direct):
Pr: 0.0000 0.0000 0.0000  6 Cu 2.87
Pu: 0.1558 0.1558 0.1558  12 Cu 2.85-3.12, 3 Pu 2.92
Pu: 0.8442 0.8442 0.8442  12 Cu 2.85-3.12, 3 Pu 2.92
Cu: 0.0853 0.5800 0.5800  7 Cu 2.46-2.59
Cu: 0.3315 0.3315 0.3315  6 Cu 2.51-2.57
Cu: 0.4200 0.4200 0.9147  7 Cu 2.46-2.59
Cu: 0.4200 0.9147 0.4200  7 Cu 2.46-2.59
Cu: 0.5000 0.5000 0.5000  6 Cu 2.59, 6 Pu 2.88
Cu: 0.5800 0.0853 0.5800  7 Cu 2.46-2.59
Cu: 0.5800 0.5800 0.0853  7 Cu 2.46-2.59
Cu: 0.6685 0.6685 0.6685  6 Cu 2.51-2.57
Cu: 0.9147 0.4200 0.4200  7 Cu 2.46-2.59

---

5.
Computed, not measured: a relaxed RbPr2Cu3S5 crystal at the GGA-PBE level of DFT.

final energy = -5.039 eV/atom

Cell: 7.3256 7.3256 17.1995 Å, 90.00 90.00 147.91°
With the nearest neighbours (Å) after each atom.
Positions (direct):
Rb: 0.0669 0.9331 0.7500  8 S 3.38-3.54, 2 Cu 3.76
Rb: 0.9331 0.0669 0.2500  8 S 3.38-3.54, 2 Cu 3.76
Pr: 0.1907 0.8093 0.0924  6 S 2.78-2.93
Pr: 0.1907 0.8093 0.4076  6 S 2.78-2.93
Pr: 0.8093 0.1907 0.5924  6 S 2.78-2.93
Pr: 0.8093 0.1907 0.9076  6 S 2.78-2.93
Cu: 0.3420 0.6580 0.7500  2 S 2.30
Cu: 0.4173 0.5827 0.0397  3 S 2.35-2.36
Cu: 0.4173 0.5827 0.4603  3 S 2.35-2.36
Cu: 0.5827 0.4173 0.5397  3 S 2.35-2.36
Cu: 0.5827 0.4173 0.9603  3 S 2.35-2.36
Cu: 0.6580 0.3420 0.2500  2 S 2.30
S: 0.1611 0.8389 0.5696  2 Cu 2.36
S: 0.1611 0.8389 0.9304  2 Cu 2.36
S: 0.2351 0.7649 0.2500  2 Cu 2.30
S: 0.4435 0.5565 0.6150  1 Cu 2.35
S: 0.4435 0.5565 0.8850  1 Cu 2.35
S: 0.5565 0.4435 0.1150  1 Cu 2.35
S: 0.5565 0.4435 0.3850  1 Cu 2.35
S: 0.7649 0.2351 0.7500  2 Cu 2.30
S: 0.8389 0.1611 0.0696  2 Cu 2.36
S: 0.8389 0.1611 0.4304  2 Cu 2.36

---

6.
Computed, not measured: a relaxed Rb2Pr4Cu4S9 crystal at the GGA-PBE level of DFT.

final energy = -5.219 eV/atom

Cell: 7.3807 7.3807 16.5475 Å, 108.36 108.36 32.06°
With the nearest neighbours (Å) after each atom.
Positions (direct):
Rb: 0.0261 0.0261 0.2684  7 S 3.26-3.59
Rb: 0.9739 0.9739 0.7316  7 S 3.26-3.59
Pr: 0.2310 0.2310 0.1034  6 S 2.79-2.94
Pr: 0.3451 0.3451 0.4463  6 S 2.78-2.91
Pr: 0.6549 0.6549 0.5537  6 S 2.78-2.91
Pr: 0.7690 0.7690 0.8966  6 S 2.79-2.94
Cu: 0.2432 0.2432 0.7243  3 S 2.37
Cu: 0.4310 0.4310 0.0390  4 S 2.39-2.57
Cu: 0.5690 0.5690 0.9610  4 S 2.39-2.57
Cu: 0.7568 0.7568 0.2757  3 S 2.37
S: 0.0000 0.0000 0.5000  4 Pr 2.91
S: 0.1335 0.1335 0.9252  2 Cu 2.39
S: 0.3010 0.3010 0.6054  1 Cu 2.37
S: 0.3422 0.3422 0.2774  2 Cu 2.37
S: 0.3957 0.3957 0.8763  2 Cu 2.40-2.57
S: 0.6043 0.6043 0.1237  2 Cu 2.40-2.57
S: 0.6578 0.6578 0.7226  2 Cu 2.37
S: 0.6990 0.6990 0.3946  1 Cu 2.37
S: 0.8665 0.8665 0.0748  2 Cu 2.39

---

7.
Computed, not measured: a relaxed RbPr2CuS4 crystal at the GGA-PBE level of DFT.

final energy = -5.464 eV/atom

Cell: 7.3948 7.3948 14.1664 Å, 90.00 90.00 147.62°
With the nearest neighbours (Å) after each atom.
Positions (direct):
Rb: 0.1071 0.8929 0.7500  6 S 3.30-3.39
Rb: 0.8929 0.1071 0.2500  6 S 3.30-3.39
Pr: 0.3654 0.6346 0.5620  6 S 2.80-2.95
Pr: 0.3654 0.6346 0.9380  6 S 2.80-2.95
Pr: 0.6346 0.3654 0.0620  6 S 2.80-2.95
Pr: 0.6346 0.3654 0.4380  6 S 2.80-2.95
Cu: 0.1633 0.8367 0.2500  4 S 2.37-2.42
Cu: 0.8367 0.1633 0.7500  4 S 2.37-2.42
S: 0.0000 0.0000 0.0000  4 Pr 2.95
S: 0.0000 0.0000 0.5000  4 Pr 2.95
S: 0.2604 0.7396 0.1143  1 Cu 2.37
S: 0.2604 0.7396 0.3857  1 Cu 2.37
S: 0.4254 0.5746 0.7500  2 Cu 2.42
S: 0.5746 0.4254 0.2500  2 Cu 2.42
S: 0.7396 0.2604 0.6143  1 Cu 2.37
S: 0.7396 0.2604 0.8857  1 Cu 2.37

---

8.
Computed, not measured: a relaxed RbPr2Cu3Se4S crystal at the GGA-PBE level of DFT.

final energy = -4.742 eV/atom

Cell: 7.6401 7.6401 17.6190 Å, 90.00 90.00 148.26°
With the nearest neighbours (Å) after each atom.
Positions (direct):
Rb: 0.0666 0.9334 0.7500  6 Se 3.43-3.63, 2 S 3.60
Rb: 0.9334 0.0666 0.2500  6 Se 3.43-3.63, 2 S 3.60
Pr: 0.1930 0.8070 0.0938  1 S 2.82, 5 Se 2.94-3.03
Pr: 0.1930 0.8070 0.4062  1 S 2.82, 5 Se 2.94-3.03
Pr: 0.8070 0.1930 0.5938  1 S 2.82, 5 Se 2.94-3.03
Pr: 0.8070 0.1930 0.9062  1 S 2.82, 5 Se 2.94-3.03
Cu: 0.3305 0.6695 0.7500  2 S 2.29
Cu: 0.4157 0.5843 0.0263  4 Se 2.50-2.57, 1 Cu 2.65
Cu: 0.4157 0.5843 0.4737  4 Se 2.50-2.57, 1 Cu 2.65
Cu: 0.5843 0.4157 0.5263  4 Se 2.50-2.57, 1 Cu 2.65
Cu: 0.5843 0.4157 0.9737  4 Se 2.50-2.57, 1 Cu 2.65
Cu: 0.6695 0.3305 0.2500  2 S 2.29
Se: 0.1599 0.8401 0.5716  2 Cu 2.50
Se: 0.1599 0.8401 0.9284  2 Cu 2.50
Se: 0.4457 0.5543 0.6151  2 Cu 2.53-2.57
Se: 0.4457 0.5543 0.8849  2 Cu 2.53-2.57
Se: 0.5543 0.4457 0.1151  2 Cu 2.53-2.57
Se: 0.5543 0.4457 0.3849  2 Cu 2.53-2.57
Se: 0.8401 0.1599 0.0716  2 Cu 2.50
Se: 0.8401 0.1599 0.4284  2 Cu 2.50
S: 0.2337 0.7663 0.2500  2 Cu 2.29
S: 0.7663 0.2337 0.7500  2 Cu 2.29

---

Q: Look up the final energy of the eighth one.
A: -4.742 eV/atom